Material: CuPRh
Method: DFT, PBE
State: relaxed

Output
- magnetic moment (μB per cell) = 0.0

abc: 4.1304 3.7245 5.6644
angles: 90.00 92.34 90.00
With the nearest neighbours (Å) after each atom.
Element x y z (fractional)
1 Cu 0.1180 0.2500 0.3699  3 P 2.25-2.49
2 Cu 0.8820 0.7500 0.6301  3 P 2.25-2.49
3 P 0.2466 0.2500 0.7592  3 Cu 2.25-2.49, 4 Rh 2.33-2.43
4 P 0.7534 0.7500 0.2408  3 Cu 2.25-2.49, 4 Rh 2.33-2.43
5 Rh 0.2538 0.7500 0.0356  4 P 2.33-2.43
6 Rh 0.7462 0.2500 0.9644  4 P 2.33-2.43


Material: CuPRh
Method: DFT, PBE
State: relaxed

Output
- magnetic moment (μB per cell) = 0.0

abc: 3.9093 3.9093 3.9093
angles: 60.00 60.00 60.00
With the nearest neighbours (Å) after each atom.
Element x y z (fractional)
1 Cu 0.0000 0.0000 0.0000  4 P 2.39
2 P 0.2500 0.2500 0.2500  4 Rh 2.39, 4 Cu 2.39
3 Rh 0.5000 0.5000 0.5000  4 P 2.39


Material: CuP3Rh
Method: DFT, PBE
State: relaxed

Output
- magnetic moment (μB per cell) = 0.0
- relative energy among the computed polymorphs (meV per atom) = 0

abc: 4.5864 4.5864 4.5864
angles: 90.00 90.00 90.00
With the nearest neighbours (Å) after each atom.
Element x y z (fractional)
1 Cu 0.0000 0.0000 0.0000  12 P 3.24
2 P 0.0000 0.5000 0.5000  2 Rh 2.29
3 P 0.5000 0.0000 0.5000  2 Rh 2.29
4 P 0.5000 0.5000 0.0000  2 Rh 2.29
5 Rh 0.5000 0.5000 0.5000  6 P 2.29


Material: CuP2Rh
Method: DFT, PBE
State: relaxed

Output
- magnetic moment (μB per cell) = 0.0
- relative energy among the computed polymorphs (meV per atom) = 202

abc: 2.8967 2.8967 6.4967
angles: 90.00 90.00 90.00
With the nearest neighbours (Å) after each atom.
Element x y z (fractional)
1 Cu 0.0000 0.0000 0.0000  8 P 2.65, 4 Cu 2.90
2 P 0.5000 0.5000 0.2598  4 Rh 2.57, 4 Cu 2.65
3 P 0.5000 0.5000 0.7402  4 Rh 2.57, 4 Cu 2.65
4 Rh 0.0000 0.0000 0.5000  8 P 2.57


| no. | energy of formation from the pure elements (eV/atom) | VASP energy (eV per atom) | DOS(E_F) (states/eV per atom) |
| --- | --- | --- | --- |
| 1 | -0.332 | -5.952 | 0.483 |
| 2 | -0.306 | -5.925 | 1.099 |
| 3 | 0.860 | -4.675 | 0.963 |
| 4 | 0.040 | -5.527 | 0.827 |